First-principles (GGA-PBE) data for a geometry-optimized LiDyMgGa2 structure, as listed in the Alexandria database.

## Properties
ΔE_f = -26.0 kJ per mole of atoms
Magnetization = 0.00 μB/atom
Mass density = 5.41 Mg/m³
SG = Pmma

Geometry as POSCAR:
```
LiDyMgGa2
1.0
5.8689 0.0000 0.0000
0.0000 5.6035 0.0000
0.0000 0.0000 6.2162
Li Dy Mg Ga
2 2 2 4
Direct
0.0000 0.0000 0.0000 Li
0.0000 0.5000 0.0000 Li
0.2445 0.2500 0.5000 Dy
0.7555 0.7500 0.5000 Dy
0.5890 0.7500 0.0000 Mg
0.4110 0.2500 0.0000 Mg
0.7625 0.2500 0.7090 Ga
0.7625 0.2500 0.2910 Ga
0.2375 0.7500 0.7090 Ga
0.2375 0.7500 0.2910 Ga
```

=====

First-principles (GGA-PBE) data for a geometry-optimized Y3PaCo3 structure, as listed in the Alexandria database.

## Properties
ΔE_f = -22.6 kJ per mole of atoms
Magnetization = 0.00 μB/atom
Mass density = 7.46 Mg/m³
SG = C2/m

Geometry as POSCAR:
```
Y3PaCo3
1.0
-1.4019 3.4574 0.0603
-1.4270 1.3281 6.1227
11.3287 6.5747 1.8550
Y Pa Co
6 2 6
Direct
0.4823 0.4014 0.6340 Y
0.5177 0.5986 0.3660 Y
0.2704 0.2646 0.1947 Y
0.7296 0.7354 0.8053 Y
0.4075 0.2642 0.9208 Y
0.5925 0.7358 0.0792 Y
0.7811 0.0466 0.3912 Pa
0.2189 0.9534 0.6088 Pa
0.8721 0.7186 0.5373 Co
0.1279 0.2814 0.4627 Co
0.0871 0.8955 0.9304 Co
0.9129 0.1045 0.0696 Co
0.9356 0.8895 0.2392 Co
0.0644 0.1105 0.7608 Co
```

=====

First-principles (GGA-PBE) data for a geometry-optimized RbTi5S8 structure, as listed in the Alexandria database.

## Properties
Magnetization = 0.01 μB/atom
Mass density = 3.61 Mg/m³
Energy relative to the elements, uncorrected = -1942 kJ/mol of formula units
SG = C2/m

Geometry as POSCAR:
```
RbTi5S8
1.0
-2.5278 2.3132 0.3584
-0.7460 0.5679 -8.9261
-4.3823 -7.6915 2.1760
Rb Ti S
1 5 8
Direct
0.5000 0.4997 0.0000 Rb
0.2923 0.6515 0.5846 Ti
0.7078 0.3485 0.4155 Ti
0.3362 0.0042 0.6723 Ti
0.6638 0.9958 0.3276 Ti
0.0000 0.0001 0.0000 Ti
0.2436 0.1704 0.4871 S
0.7564 0.8297 0.5129 S
0.1628 0.4947 0.3256 S
0.8372 0.5053 0.6745 S
0.0887 0.8312 0.1775 S
0.9112 0.1688 0.8224 S
0.4233 0.8357 0.8467 S
0.5767 0.1644 0.1533 S
```

=====

First-principles (GGA-PBE) data for a geometry-optimized CoRe2Mo structure, as listed in the Alexandria database.

## Properties
ΔE_f = 18.0 kJ per mole of atoms
Magnetization = 0.34 μB/atom
Mass density = 15.18 Mg/m³
Relative energy among the computed polymorphs = 13.4 kJ per mole of atoms
SG = P2/m

Geometry as POSCAR:
```
CoRe2Mo
1.0
-1.7745 2.1844 3.3111
-2.0486 0.6582 -1.5321
-3.0302 -3.9616 0.9896
Co Mo Re
1 1 2
Direct
0.5000 0.2500 0.2500 Co
0.5000 0.7500 0.7500 Mo
0.0000 0.9894 0.0097 Re
0.0000 0.5106 0.4903 Re
```